No. 1
A plane-wave DFT calculation with PBE-GGA was carried out for an optimized crystal structure of Ca2ZrW.

Computed properties:
Energy above the most stable polymorph in this dataset in eV/atom: 0.247
DFT formation energy in eV per atom: 0.63

a = 6.4421 Å, b = 6.4421 Å, c = 6.4421 Å
α = 149.67°, β = 125.88°, γ = 63.31°
Closest atoms and distances in Å follow each position.
Fractional coordinates of all 4 atoms:
Zr 0.2979 0.7979 0.5000  2 W 2.60
Ca 0.0098 0.0098 0.0000  6 Ca 3.37-3.69, 4 W 3.40, 4 Zr 3.58-3.74
Ca 0.7143 0.2143 0.5000  2 W 3.09, 2 Ca 3.37
W 0.4780 0.4780 0.0000  2 Zr 2.60

***

No. 2
A plane-wave DFT calculation with PBE-GGA was carried out for an optimized crystal structure of Sr2Li10Cd.

Computed properties:
DFT formation energy in eV per atom: 0.07

a = 6.5507 Å, b = 5.8006 Å, c = 18.8429 Å
α = 90.00°, β = 90.00°, γ = 90.00°
Closest atoms and distances in Å follow each position.
Fractional coordinates of all 26 atoms:
Li 0.0000 0.4053 0.9257  1 Cd 2.74, 7 Li 2.76-3.03
Li 0.0000 0.4390 0.6415  1 Cd 2.69, 5 Li 2.71-3.01
Li 0.3021 0.2245 0.5409  2 Li 2.59-2.78, 1 Cd 2.66
Li 0.3021 0.7245 0.9591  2 Li 2.59-2.78, 1 Cd 2.66
Li 0.0000 0.5610 0.3585  1 Cd 2.69, 5 Li 2.71-3.01
Li 0.0000 0.9390 0.8585  1 Cd 2.69, 5 Li 2.71-3.01
Li 0.0000 0.0610 0.1415  1 Cd 2.69, 5 Li 2.71-3.01
Li 0.6979 0.2755 0.0409  2 Li 2.59-2.78, 1 Cd 2.66
Li 0.0000 0.5947 0.0743  1 Cd 2.74, 7 Li 2.76-3.03
Li 0.6979 0.7755 0.4591  2 Li 2.59-2.78, 1 Cd 2.66
Li 0.6979 0.2245 0.5409  2 Li 2.59-2.78, 1 Cd 2.66
Li 0.0000 0.0164 0.7167  3 Li 2.71-2.83
Li 0.0000 0.0947 0.4257  1 Cd 2.74, 7 Li 2.76-3.03
Li 0.0000 0.4836 0.2167  3 Li 2.71-2.83
Li 0.6979 0.7245 0.9591  2 Li 2.59-2.78, 1 Cd 2.66
Li 0.0000 0.9053 0.5743  1 Cd 2.74, 7 Li 2.76-3.03
Li 0.0000 0.5164 0.7833  3 Li 2.71-2.83
Li 0.0000 0.9836 0.2833  3 Li 2.71-2.83
Li 0.3021 0.2755 0.0409  2 Li 2.59-2.78, 1 Cd 2.66
Li 0.3021 0.7755 0.4591  2 Li 2.59-2.78, 1 Cd 2.66
Sr 0.5000 0.7728 0.1553  12 Li 3.69-3.93
Sr 0.5000 0.7272 0.6553  12 Li 3.69-3.93
Sr 0.5000 0.2272 0.8447  12 Li 3.69-3.93
Sr 0.5000 0.2728 0.3447  12 Li 3.69-3.93
Cd 0.0000 0.0000 0.0000  8 Li 2.66-2.74
Cd 0.0000 0.5000 0.5000  8 Li 2.66-2.74

***

No. 3
A plane-wave DFT calculation with PBE-GGA was carried out for an optimized crystal structure of SrCu2Ir2.

Computed properties:
Energy above the most stable polymorph in this dataset in eV/atom: 0.038
DFT formation energy in eV per atom: 0.18

a = 7.6404 Å, b = 7.6404 Å, c = 2.8373 Å
α = 90.00°, β = 90.00°, γ = 90.00°
Closest atoms and distances in Å follow each position.
Fractional coordinates of all 10 atoms:
Ir 0.8784 0.6216 0.0000  3 Ir 2.63-2.84, 6 Cu 2.63-2.69
Ir 0.3784 0.8784 0.0000  3 Ir 2.63-2.84, 6 Cu 2.63-2.69
Ir 0.1216 0.3784 0.0000  3 Ir 2.63-2.84, 6 Cu 2.63-2.69
Ir 0.6216 0.1216 0.0000  3 Ir 2.63-2.84, 6 Cu 2.63-2.69
Cu 0.8268 0.3268 0.5000  6 Ir 2.63-2.69, 2 Cu 2.84
Cu 0.3268 0.1732 0.5000  6 Ir 2.63-2.69, 2 Cu 2.84
Cu 0.6732 0.8268 0.5000  6 Ir 2.63-2.69, 2 Cu 2.84
Cu 0.1732 0.6732 0.5000  6 Ir 2.63-2.69, 2 Cu 2.84
Sr 0.0000 0.0000 0.0000  2 Sr 2.84, 4 Ir 3.04, 8 Cu 3.16
Sr 0.5000 0.5000 0.0000  2 Sr 2.84, 4 Ir 3.04, 8 Cu 3.16

***

No. 4
A plane-wave DFT calculation with PBE-GGA was carried out for an optimized crystal structure of PmGe2O5.

Computed properties:
Raw formation energy in eV/atom: -2.03

a = 3.5908 Å, b = 5.1204 Å, c = 12.0420 Å
α = 90.00°, β = 90.00°, γ = 90.00°
Closest atoms and distances in Å follow each position.
Fractional coordinates of all 16 atoms:
O 0.0000 0.4332 0.3295  2 Ge 1.95
O 0.0000 0.4332 0.6705  2 Ge 1.95
O 0.5000 0.5668 0.8295  2 Ge 1.95
O 0.0000 0.0941 0.8864  1 Ge 1.76
O 0.5000 0.5668 0.1705  2 Ge 1.95
O 0.0000 0.5860 0.0000  2 Ge 1.95
O 0.5000 0.9059 0.3864  1 Ge 1.76
O 0.5000 0.4140 0.5000  2 Ge 1.95
O 0.0000 0.0941 0.1136  1 Ge 1.76
O 0.5000 0.9059 0.6136  1 Ge 1.76
Ge 0.5000 0.5708 0.3522  4 O 1.76-1.95
Ge 0.0000 0.4292 0.1478  4 O 1.76-1.95
Ge 0.5000 0.5708 0.6478  4 O 1.76-1.95
Ge 0.0000 0.4292 0.8522  4 O 1.76-1.95
Pm 0.5000 0.9127 0.0000  8 O 2.44-2.71
Pm 0.0000 0.0873 0.5000  8 O 2.44-2.71

***

No. 5
A plane-wave DFT calculation with PBE-GGA was carried out for an optimized crystal structure of Al2HgPd2.

Computed properties:
Energy above the most stable polymorph in this dataset in eV/atom: 0.246
DFT formation energy in eV per atom: -0.32

a = 4.0002 Å, b = 4.0002 Å, c = 6.3910 Å
α = 71.76°, β = 71.76°, γ = 90.00°
Closest atoms and distances in Å follow each position.
Fractional coordinates of all 5 atoms:
Al 0.3849 0.3849 0.2303  4 Pd 2.53, 1 Al 2.64
Al 0.6151 0.6151 0.7697  4 Pd 2.53, 1 Al 2.64
Hg 0.0000 0.0000 0.0000  8 Al 3.12, 8 Pd 3.49
Pd 0.2500 0.7500 0.5000  4 Al 2.53, 4 Pd 2.83
Pd 0.7500 0.2500 0.5000  4 Al 2.53, 4 Pd 2.83

***

No. 6
A plane-wave DFT calculation with PBE-GGA was carried out for an optimized crystal structure of K2Rb5.

Computed properties:
DFT formation energy in eV per atom: 0.01

a = 8.5537 Å, b = 12.8772 Å, c = 11.6649 Å
α = 93.11°, β = 111.51°, γ = 90.00°
Closest atoms and distances in Å follow each position.
Fractional coordinates of all 14 atoms:
Rb 0.5555 0.8236 0.4301  9 Rb 4.90-5.06, 3 K 4.93-4.98
Rb 0.4445 0.1764 0.5699  9 Rb 4.90-5.06, 3 K 4.93-4.98
Rb 0.8746 0.3236 0.4301  9 Rb 4.90-5.06, 3 K 4.93-4.98
Rb 0.8270 0.2500 0.0000  6 K 4.85-4.99, 6 Rb 4.90-4.92
Rb 0.6940 0.5372 0.7232  4 K 4.78-4.96, 8 Rb 4.90-5.08
Rb 0.1254 0.6764 0.5699  9 Rb 4.90-5.06, 3 K 4.93-4.98
Rb 0.9708 0.9628 0.2768  4 K 4.78-4.96, 8 Rb 4.90-5.08
Rb 0.3060 0.4628 0.2768  4 K 4.78-4.96, 8 Rb 4.90-5.08
Rb 0.0292 0.0372 0.7232  4 K 4.78-4.96, 8 Rb 4.90-5.08
Rb 0.1730 0.7500 0.0000  6 K 4.85-4.99, 6 Rb 4.90-4.92
K 0.4061 0.1082 0.1393  10 Rb 4.78-4.99, 2 K 4.87
K 0.2668 0.3918 0.8607  10 Rb 4.78-4.99, 2 K 4.87
K 0.5939 0.8918 0.8607  10 Rb 4.78-4.99, 2 K 4.87
K 0.7332 0.6082 0.1393  10 Rb 4.78-4.99, 2 K 4.87

***

No. 7
A plane-wave DFT calculation with PBE-GGA was carried out for an optimized crystal structure of CaHgW2.

Computed properties:
DFT formation energy in eV per atom: 0.74

a = 5.7307 Å, b = 5.7307 Å, c = 5.7307 Å
α = 145.49°, β = 127.05°, γ = 64.75°
Closest atoms and distances in Å follow each position.
Fractional coordinates of all 4 atoms:
W 0.7875 0.2875 0.5000  2 W 2.47
W 0.9727 0.9727 0.0000  2 W 2.47
Ca 0.5083 0.5083 0.0000  8 W 3.09-3.33, 4 Hg 3.17-3.35, 2 Ca 3.40
Hg 0.2315 0.7315 0.5000  6 W 3.03-3.12, 4 Ca 3.17-3.35

***

No. 8
A plane-wave DFT calculation with PBE-GGA was carried out for an optimized crystal structure of ScAg2.

Computed properties:
Energy above the most stable polymorph in this dataset in eV/atom: 0.088
DFT formation energy in eV per atom: -0.21

a = 7.0081 Å, b = 7.0081 Å, c = 4.5646 Å
α = 90.00°, β = 90.00°, γ = 148.92°
Closest atoms and distances in Å follow each position.
Fractional coordinates of all 6 atoms:
Ag 0.0170 0.9830 0.0000  6 Ag 2.92-2.97, 4 Sc 2.95-3.02
Ag 0.3513 0.6487 0.0000  4 Ag 2.92-3.02, 6 Sc 2.92-2.97
Ag 0.5385 0.4615 0.5000  6 Ag 2.92-2.97, 4 Sc 2.95-3.02
Ag 0.2043 0.7957 0.5000  4 Ag 2.92-3.02, 6 Sc 2.92-2.97
Sc 0.8702 0.1298 0.5000  10 Ag 2.92-3.02
Sc 0.6854 0.3146 0.0000  10 Ag 2.92-3.02

***

No. 9
A plane-wave DFT calculation with PBE-GGA was carried out for an optimized crystal structure of HfCd2S.

Computed properties:
Raw formation energy in eV/atom: -0.03

a = 8.1428 Å, b = 8.1428 Å, c = 6.3236 Å
α = 49.92°, β = 49.92°, γ = 90.00°
Closest atoms and distances in Å follow each position.
Fractional coordinates of all 8 atoms:
Hf 0.0000 0.0000 0.0000  2 S 2.61
Hf 0.7500 0.2500 0.5000  2 S 2.61
Cd 0.8750 0.8420 0.7500  2 Cd 2.67, 2 S 2.77
Cd 0.5920 0.1250 0.2500  2 Cd 2.67, 2 S 2.77
Cd 0.1580 0.6250 0.2500  2 Cd 2.67, 2 S 2.77
Cd 0.3750 0.4080 0.7500  2 Cd 2.67, 2 S 2.77
S 0.2500 0.7500 0.5000  2 Hf 2.61, 4 Cd 2.77
S 0.5000 0.5000 0.0000  2 Hf 2.61, 4 Cd 2.77

***

No. 10
A plane-wave DFT calculation with PBE-GGA was carried out for an optimized crystal structure of U2Se3.

Computed properties:
Raw formation energy in eV/atom: -1.18

a = 3.9631 Å, b = 11.0341 Å, c = 11.0611 Å
α = 90.00°, β = 90.00°, γ = 90.00°
Closest atoms and distances in Å follow each position.
Fractional coordinates of all 20 atoms:
U 0.7500 0.4894 0.3115  7 Se 2.93-2.96
U 0.2500 0.5106 0.6885  7 Se 2.93-2.96
U 0.7500 0.6828 0.9867  7 Se 2.88-2.91
U 0.7500 0.8172 0.4867  7 Se 2.88-2.91
U 0.2500 0.9894 0.1885  7 Se 2.93-2.96
U 0.2500 0.1828 0.5133  7 Se 2.88-2.91
U 0.2500 0.3172 0.0133  7 Se 2.88-2.91
U 0.7500 0.0106 0.8115  7 Se 2.93-2.96
Se 0.7500 0.4450 0.8739  5 U 2.88-2.94
Se 0.2500 0.5550 0.1261  5 U 2.88-2.94
Se 0.2500 0.9450 0.6261  5 U 2.88-2.94
Se 0.2500 0.2052 0.7750  4 U 2.91-2.95
Se 0.7500 0.7052 0.7250  4 U 2.91-2.95
Se 0.7500 0.7948 0.2250  4 U 2.91-2.95
Se 0.7500 0.3705 0.5518  5 U 2.90-2.96
Se 0.2500 0.6295 0.4482  5 U 2.90-2.96
Se 0.7500 0.0550 0.3739  5 U 2.88-2.94
Se 0.2500 0.2948 0.2750  4 U 2.91-2.95
Se 0.7500 0.1295 0.0518  5 U 2.90-2.96
Se 0.2500 0.8705 0.9482  5 U 2.90-2.96

***

No. 11
A plane-wave DFT calculation with PBE-GGA was carried out for an optimized crystal structure of V2CoRh3.

Computed properties:
Energy above the most stable polymorph in this dataset in eV/atom: 0.000
DFT formation energy in eV per atom: -0.33

a = 3.6363 Å, b = 3.7915 Å, c = 6.0637 Å
α = 108.22°, β = 90.00°, γ = 90.00°
Closest atoms and distances in Å follow each position.
Fractional coordinates of all 6 atoms:
Rh 0.5000 0.1660 0.3320  6 V 2.63-2.73, 2 Co 2.64, 4 Rh 2.69-2.71
Rh 0.5000 0.8340 0.6680  6 V 2.63-2.73, 2 Co 2.64, 4 Rh 2.69-2.71
Rh 0.5000 0.5000 0.0000  4 V 2.57, 4 Co 2.63, 4 Rh 2.69
V 0.0000 0.6572 0.3144  8 Rh 2.57-2.73, 2 Co 2.62, 2 V 2.86
V 0.0000 0.3428 0.6856  8 Rh 2.57-2.73, 2 Co 2.62, 2 V 2.86
Co 0.0000 0.0000 0.0000  4 V 2.62, 8 Rh 2.63-2.64

***

No. 12
A plane-wave DFT calculation with PBE-GGA was carried out for an optimized crystal structure of Gd2DyI.

Computed properties:
Raw formation energy in eV/atom: -0.33
Energy above the most stable polymorph in this dataset in eV/atom: 0.041

a = 3.6759 Å, b = 3.6759 Å, c = 9.5073 Å
α = 90.00°, β = 90.00°, γ = 90.00°
Closest atoms and distances in Å follow each position.
Fractional coordinates of all 4 atoms:
I 0.5000 0.5000 0.0000  8 Gd 3.49, 4 I 3.68
Gd 0.0000 0.0000 0.7552  4 I 3.49, 4 Dy 3.56, 4 Gd 3.68
Gd 0.0000 0.0000 0.2448  4 I 3.49, 4 Dy 3.56, 4 Gd 3.68
Dy 0.5000 0.5000 0.5000  8 Gd 3.56, 4 Dy 3.68

***

Total moment for every record listed, in sequence, given in μB per formula unit: 0.00, 0.00, 0.00, 0.00, 0.00, 0.00, 0.00, 0.00, 0.00, 5.68, 0.30, 14.93.
Energy for every record listed, in sequence, given in eV/cell: -22.97, -45.14, -53.42, -109.96, -19.80, -13.98, -25.25, -25.30, -32.08, -155.66, -49.37, -35.62.